Record 1
Below is crystalline NaTl3Cu2Cl6 at its relaxed geometry, with properties calculated at the PBE level.

Unit cell a=7.5612 b=7.5612 c=8.2277 alpha=90.00 beta=90.00 gamma=120.00
With the nearest neighbours (Å) after each atom.
Sites, in units of the cell vectors:
1 Na 0.0000 0.0000 0.0000  6 Cl 2.76
2 Tl 0.0000 0.0000 0.5000  6 Cl 3.21
3 Tl 0.3333 0.6667 0.1408  1 Cu 2.85
4 Tl 0.6667 0.3333 0.8592  1 Cu 2.85
5 Cu 0.3333 0.6667 0.7944  3 Cl 2.22
6 Cu 0.6667 0.3333 0.2056  3 Cl 2.22
7 Cl 0.1641 0.3283 0.7896  1 Cu 2.22
8 Cl 0.1641 0.8359 0.7896  1 Cu 2.22
9 Cl 0.3283 0.1641 0.2104  1 Cu 2.22
10 Cl 0.6717 0.8359 0.7896  1 Cu 2.22
11 Cl 0.8359 0.1641 0.2104  1 Cu 2.22
12 Cl 0.8359 0.6717 0.2104  1 Cu 2.22

Energy relative to the elements, uncorrected (eV/f.u.): -10.772
Size of the total moment (μB/f.u.): 0.17
E (eV per formula unit): -38.46
SG: P-3m1, No. 164
Fermi-level density of states (states/eV/cell): 0.0

---

Record 2
Below is crystalline NaTl2CuCl4 at its relaxed geometry, with properties calculated at the PBE level.

Unit cell a=8.5984 b=8.5984 c=9.0707 alpha=121.69 beta=121.69 gamma=82.33
With the nearest neighbours (Å) after each atom.
Sites, in units of the cell vectors:
1 Na 0.0000 0.0000 0.0000  2 Cl 2.62
2 Na 0.0000 0.0000 0.5000  2 Cl 2.62
3 Tl 0.0000 0.5000 0.0000  6 Cl 3.12-3.49
4 Tl 0.5000 0.0000 0.5000  6 Cl 3.12-3.49
5 Tl 0.5000 0.5000 0.0000  6 Cl 3.05-3.39
6 Tl 0.5000 0.5000 0.5000  6 Cl 3.05-3.39
7 Cu 0.0000 0.5000 0.5000  2 Cl 2.18
8 Cu 0.5000 0.0000 0.0000  2 Cl 2.18
9 Cl 0.1808 0.2967 0.4888  1 Cu 2.18
10 Cl 0.2297 0.7680 0.4774  1 Na 2.62
11 Cl 0.2320 0.7703 0.0226  1 Na 2.62
12 Cl 0.2967 0.1808 0.9888  1 Cu 2.18
13 Cl 0.7033 0.8192 0.0112  1 Cu 2.18
14 Cl 0.7680 0.2297 0.9774  1 Na 2.62
15 Cl 0.7703 0.2320 0.5226  1 Na 2.62
16 Cl 0.8192 0.7033 0.5112  1 Cu 2.18

Energy relative to the elements, uncorrected (eV/f.u.): -7.952
Size of the total moment (μB/f.u.): 0.16
E (eV per formula unit): -25.49
SG: C2/c, No. 15
Fermi-level density of states (states/eV/cell): 0.0

---

Record 3
Below is crystalline NaTl2CuCl5 at its relaxed geometry, with properties calculated at the PBE level.

Unit cell a=9.5867 b=9.5867 c=13.3369 alpha=90.00 beta=90.00 gamma=155.47
With the nearest neighbours (Å) after each atom.
Sites, in units of the cell vectors:
1 Na 0.2029 0.7971 0.5000  6 Cl 2.77-3.00
2 Na 0.7971 0.2029 0.0000  6 Cl 2.77-3.00
3 Tl 0.1279 0.8721 0.1496  3 Cl 3.07-3.10
4 Tl 0.1377 0.8623 0.7972  7 Cl 3.18-3.50
5 Tl 0.8623 0.1377 0.2972  7 Cl 3.18-3.50
6 Tl 0.8721 0.1279 0.6496  3 Cl 3.07-3.10
7 Cu 0.4401 0.5599 0.8927  4 Cl 2.25-2.31
8 Cu 0.5599 0.4401 0.3927  4 Cl 2.25-2.31
9 Cl 0.0443 0.9557 0.4714  2 Cu 2.31
10 Cl 0.2935 0.7065 0.1420  2 Na 2.78, 1 Tl 3.10
11 Cl 0.3203 0.6797 0.8540  1 Cu 2.30
12 Cl 0.3502 0.6498 0.4804  1 Na 2.77, 2 Tl 3.07
13 Cl 0.4918 0.5082 0.2534  1 Cu 2.25
14 Cl 0.5082 0.4918 0.7534  1 Cu 2.25
15 Cl 0.6498 0.3502 0.9804  1 Na 2.77, 2 Tl 3.07
16 Cl 0.6797 0.3203 0.3540  1 Cu 2.30
17 Cl 0.7065 0.2935 0.6420  2 Na 2.78, 1 Tl 3.10
18 Cl 0.9557 0.0443 0.9714  2 Cu 2.31

Energy relative to the elements, uncorrected (eV/f.u.): -8.916
Size of the total moment (μB/f.u.): 0.86
E (eV per formula unit): -28.30
SG: Cmc2_1, No. 36
Fermi-level density of states (states/eV/cell): 15.1